*a*
Computed, not measured: crystalline LiMo2Ir at its relaxed geometry at the PBE level of DFT.

Summary:
Total magnetization in Bohr magnetons per cell: 0.000

Cell and atoms, written as CIF:
```
data_LiMo2Ir
_symmetry_space_group_name_H-M 'P 1 m 1'
_symmetry_Int_Tables_number 6
_symmetry_space_group_name_Hall 'P -2y'
_cell_length_a 2.720
_cell_length_b 4.302
_cell_length_c 5.001
_cell_angle_alpha 90.00
_cell_angle_beta 96.59
_cell_angle_gamma 90.00
loop_
_atom_site_label
_atom_site_fract_x
_atom_site_fract_y
_atom_site_fract_z
_atom_site_occupancy
Li1 0.000 0.000 0.000 1
Mo1 0.464 0.000 0.504 1
Mo2 0.643 0.500 0.207 1
Ir1 0.082 0.500 0.728 1
```



*b*
Computed, not measured: crystalline LiMo2Ir at its relaxed geometry at the PBE level of DFT.

Summary:
Total magnetization in Bohr magnetons per cell: 0.000

Cell and atoms, written as CIF:
```
data_LiMo2Ir
_symmetry_space_group_name_H-M 'C m m 2'
_symmetry_Int_Tables_number 35
_symmetry_space_group_name_Hall 'C 2 -2'
_cell_length_a 3.044
_cell_length_b 4.444
_cell_length_c 9.058
_cell_angle_alpha 90.00
_cell_angle_beta 90.00
_cell_angle_gamma 90.00
loop_
_atom_site_label
_atom_site_fract_x
_atom_site_fract_y
_atom_site_fract_z
_atom_site_occupancy
Li1 0.000 0.000 0.000 1
Mo1 0.000 0.000 0.517 1
Mo2 0.000 0.500 0.269 1
Ir1 0.000 0.500 0.761 1
```



*c*
Computed, not measured: crystalline LiMo2Ir at its relaxed geometry at the PBE level of DFT.

Summary:
Total magnetization in Bohr magnetons per cell: 0.000

Cell and atoms, written as CIF:
```
data_LiMo2Ir
_symmetry_space_group_name_H-M 'P 4/m m m'
_symmetry_Int_Tables_number 123
_symmetry_space_group_name_Hall '-P 4 2'
_cell_length_a 3.803
_cell_length_b 3.803
_cell_length_c 4.012
_cell_angle_alpha 90.00
_cell_angle_beta 90.00
_cell_angle_gamma 90.00
loop_
_atom_site_label
_atom_site_fract_x
_atom_site_fract_y
_atom_site_fract_z
_atom_site_occupancy
Li1 0.000 0.000 0.000 1
Mo1 0.000 0.500 0.500 1
Ir1 0.500 0.500 0.000 1
```



Which is most stable, and by how much? *a*, by 95 meV/atom.



*a*
Computed, not measured: crystalline LiMoIr2 at its relaxed geometry at the PBE level of DFT.

Summary:
Total magnetization in Bohr magnetons per cell: 0.000

Cell and atoms, written as CIF:
```
data_LiMoIr2
_symmetry_space_group_name_H-M 'P 1 m 1'
_symmetry_Int_Tables_number 6
_symmetry_space_group_name_Hall 'P -2y'
_cell_length_a 2.726
_cell_length_b 4.006
_cell_length_c 5.212
_cell_angle_alpha 90.00
_cell_angle_beta 90.27
_cell_angle_gamma 90.00
loop_
_atom_site_label
_atom_site_fract_x
_atom_site_fract_y
_atom_site_fract_z
_atom_site_occupancy
Li1 0.000 0.000 0.000 1
Mo1 0.499 0.500 0.272 1
Ir1 0.500 0.500 0.807 1
Ir2 0.998 0.000 0.505 1
```



*b*
Computed, not measured: crystalline LiMoIr2 at its relaxed geometry at the PBE level of DFT.

Summary:
Total magnetization in Bohr magnetons per cell: 0.000

Cell and atoms, written as CIF:
```
data_LiMoIr2
_symmetry_space_group_name_H-M 'P 4 m m'
_symmetry_Int_Tables_number 99
_symmetry_space_group_name_Hall 'P 4 -2'
_cell_length_a 3.179
_cell_length_b 3.179
_cell_length_c 5.613
_cell_angle_alpha 90.00
_cell_angle_beta 90.00
_cell_angle_gamma 90.00
loop_
_atom_site_label
_atom_site_fract_x
_atom_site_fract_y
_atom_site_fract_z
_atom_site_occupancy
Li1 0.000 0.000 0.000 1
Mo1 0.500 0.500 0.261 1
Ir1 0.000 0.000 0.497 1
Ir2 0.500 0.500 0.815 1
```



Which is most stable, and by how much? *a*, by 244 meV/atom.



*a*
Computed, not measured: crystalline LiMo2Ir2 at its relaxed geometry at the PBE level of DFT.

Summary:
Total magnetization in Bohr magnetons per cell: 0.000

Cell and atoms, written as CIF:
```
data_LiMo2Ir2
_symmetry_space_group_name_H-M 'P 4/m b m'
_symmetry_Int_Tables_number 127
_symmetry_space_group_name_Hall '-P 4 2ab'
_cell_length_a 7.684
_cell_length_b 7.684
_cell_length_c 2.772
_cell_angle_alpha 90.00
_cell_angle_beta 90.00
_cell_angle_gamma 90.00
loop_
_atom_site_label
_atom_site_fract_x
_atom_site_fract_y
_atom_site_fract_z
_atom_site_occupancy
Li1 0.000 0.000 0.000 1
Mo1 0.165 0.335 0.500 1
Ir1 0.128 0.628 0.000 1
```



*b*
Computed, not measured: crystalline LiMo2Ir2 at its relaxed geometry at the PBE level of DFT.

Summary:
Total magnetization in Bohr magnetons per cell: 0.000

Cell and atoms, written as CIF:
```
data_LiMo2Ir2
_symmetry_space_group_name_H-M 'P 4/m b m'
_symmetry_Int_Tables_number 127
_symmetry_space_group_name_Hall '-P 4 2ab'
_cell_length_a 7.761
_cell_length_b 7.761
_cell_length_c 2.740
_cell_angle_alpha 90.00
_cell_angle_beta 90.00
_cell_angle_gamma 90.00
loop_
_atom_site_label
_atom_site_fract_x
_atom_site_fract_y
_atom_site_fract_z
_atom_site_occupancy
Li1 0.000 0.000 0.000 1
Mo1 0.120 0.380 0.000 1
Ir1 0.170 0.670 0.500 1
```



Which is most stable, and by how much? *a*, by 9 meV/atom.



*a*
Computed, not measured: crystalline LiMo3Ir at its relaxed geometry at the PBE level of DFT.

Summary:
Total magnetization in Bohr magnetons per cell: 1.525

Cell and atoms, written as CIF:
```
data_LiMo3Ir
_symmetry_space_group_name_H-M 'P m -3 m'
_symmetry_Int_Tables_number 221
_symmetry_space_group_name_Hall '-P 4 2 3'
_cell_length_a 4.794
_cell_length_b 4.794
_cell_length_c 4.794
_cell_angle_alpha 90.00
_cell_angle_beta 90.00
_cell_angle_gamma 90.00
loop_
_atom_site_label
_atom_site_fract_x
_atom_site_fract_y
_atom_site_fract_z
_atom_site_occupancy
Li1 0.000 0.000 0.000 1
Mo1 0.000 0.500 0.500 1
Ir1 0.500 0.500 0.500 1
```



*b*
Computed, not measured: crystalline LiMo3Ir at its relaxed geometry at the PBE level of DFT.

Summary:
Total magnetization in Bohr magnetons per cell: 0.000

Cell and atoms, written as CIF:
```
data_LiMo3Ir
_symmetry_space_group_name_H-M 'P m -3 m'
_symmetry_Int_Tables_number 221
_symmetry_space_group_name_Hall '-P 4 2 3'
_cell_length_a 4.172
_cell_length_b 4.172
_cell_length_c 4.172
_cell_angle_alpha 90.00
_cell_angle_beta 90.00
_cell_angle_gamma 90.00
loop_
_atom_site_label
_atom_site_fract_x
_atom_site_fract_y
_atom_site_fract_z
_atom_site_occupancy
Li1 0.000 0.000 0.000 1
Mo1 0.000 0.000 0.500 1
Ir1 0.500 0.500 0.500 1
```



Which is most stable, and by how much? *b*, by 446 meV/atom.